Record 1
A plane-wave DFT calculation with PBE-GGA was carried out for a relaxed structure of TbSmTeO2.

Summary:
* crystal system: tetragonal
* magnetization: 0.000 μB/atom
* E: -7.418 eV per atom
* symmetry: I4mm
* relative energy among the computed polymorphs: 0.0 kJ/mol of atoms

Structure (extended XYZ):
```
10
Lattice="3.962 0.000 0.000 0.000 3.962 0.000 0.000 0.000 12.595" Properties=species:S:1:pos:R:3 pbc="T T T"
Tb 0.000 0.000 0.000
Tb 1.981 1.981 6.298
Sm 0.000 0.000 4.051
Sm 1.981 1.981 10.349
Te 0.000 0.000 8.333
Te 1.981 1.981 2.035
O 0.000 1.981 5.222
O 0.000 1.981 11.520
O 1.981 0.000 5.222
O 1.981 0.000 11.520
```

=====

Record 2
A plane-wave DFT calculation with PBE-GGA was carried out for a relaxed structure of SmTc2O8.

Summary:
* crystal system: trigonal
* magnetization: 0.023 μB/atom
* E: -7.750 eV per atom
* symmetry: P-3

Structure (extended XYZ):
```
11
Lattice="6.228 0.000 0.000 -3.114 5.393 0.000 0.000 0.000 5.121" Properties=species:S:1:pos:R:3 pbc="T T T"
Sm 0.000 0.000 0.000
Tc 0.000 3.596 1.822
Tc 3.114 1.798 3.299
O -1.473 4.388 1.259
O 0.051 1.923 1.259
O 0.000 3.596 3.545
O 1.691 0.918 3.862
O 1.423 4.475 1.259
O 3.114 1.798 1.577
O 3.063 3.470 3.862
O 4.587 1.006 3.862
```

=====

Record 3
A plane-wave DFT calculation with PBE-GGA was carried out for a relaxed structure of Sm6TcO12.

Summary:
* crystal system: trigonal
* magnetization: 0.053 μB/atom
* E: -8.182 eV per atom
* symmetry: R-3

Structure (extended XYZ):
```
19
Lattice="4.984 2.877 3.186 -4.984 2.877 3.186 0.000 -5.755 3.186" Properties=species:S:1:pos:R:3 pbc="T T T"
Sm -2.648 -2.484 4.987
Sm -3.475 1.052 4.570
Sm 0.827 -3.535 4.570
Sm -0.827 3.535 4.987
Sm 3.475 -1.052 4.987
Sm 2.648 2.484 4.570
Tc 0.000 0.000 4.778
O -1.299 -4.130 4.122
O -4.226 -0.940 5.435
O -1.619 -0.347 3.728
O -2.927 3.190 4.122
O 1.110 -1.228 3.728
O -0.509 -1.575 5.829
O 0.509 1.575 3.728
O -1.110 1.228 5.829
O 2.927 -3.190 5.435
O 1.619 0.347 5.829
O 4.226 0.940 4.122
O 1.299 4.130 5.435
```

=====

Record 4
A plane-wave DFT calculation with PBE-GGA was carried out for a relaxed structure of Sm2Tc2O7.

Summary:
* crystal system: cubic
* magnetization: 0.545 μB/atom
* E: -8.223 eV per atom
* symmetry: Fd-3m

Structure (extended XYZ):
```
22
Lattice="0.000 5.184 5.184 5.184 0.000 5.184 5.184 5.184 0.000" Properties=species:S:1:pos:R:3 pbc="T T T"
Sm 0.000 0.000 0.000
Sm 2.592 2.592 0.000
Sm 2.592 0.000 2.592
Sm 0.000 2.592 2.592
Tc 5.184 2.592 2.592
Tc 2.592 5.184 2.592
Tc 2.592 2.592 5.184
Tc 5.184 5.184 5.184
O 1.296 1.296 1.296
O 3.888 3.888 1.710
O 3.888 1.710 3.888
O 6.065 3.888 3.888
O 6.479 6.479 4.302
O 6.479 4.302 6.479
O 8.657 6.479 6.479
O 1.710 3.888 3.888
O 3.888 6.065 3.888
O 3.888 3.888 6.065
O 4.302 6.479 6.479
O 6.479 8.657 6.479
O 6.479 6.479 8.657
O 9.071 9.071 9.071
```

=====

Record 5
A plane-wave DFT calculation with PBE-GGA was carried out for a relaxed structure of SmTc2O4.

Summary:
* crystal system: cubic
* magnetization: 0.429 μB/atom
* E: -7.941 eV per atom
* symmetry: Fd-3m

Structure (extended XYZ):
```
14
Lattice="0.000 4.520 4.520 4.520 0.000 4.520 4.520 4.520 0.000" Properties=species:S:1:pos:R:3 pbc="T T T"
Sm 1.130 1.130 1.130
Sm 7.910 7.910 7.910
Tc 4.520 2.260 2.260
Tc 2.260 4.520 2.260
Tc 2.260 2.260 4.520
Tc 4.520 4.520 4.520
O 2.400 2.400 2.400
O 4.380 4.380 2.400
O 4.380 2.400 4.380
O 6.640 4.660 4.660
O 2.400 4.380 4.380
O 4.660 6.640 4.660
O 4.660 4.660 6.640
O 6.640 6.640 6.640
```

=====

Record 6
A plane-wave DFT calculation with PBE-GGA was carried out for a relaxed structure of Sm6TeO12.

Summary:
* crystal system: trigonal
* magnetization: 0.000 μB/atom
* E: -7.813 eV per atom
* symmetry: R-3

Structure (extended XYZ):
```
19
Lattice="5.009 2.892 3.188 -5.009 2.892 3.188 0.000 -5.784 3.188" Properties=species:S:1:pos:R:3 pbc="T T T"
Sm -2.678 -2.510 4.993
Sm -3.512 1.064 4.572
Sm 0.835 -3.574 4.572
Sm -0.835 3.574 4.993
Sm 3.512 -1.064 4.993
Sm 2.678 2.510 4.572
Te 0.000 0.000 4.783
O -1.303 -4.138 4.122
O -4.235 -0.941 5.443
O -1.626 -0.364 3.730
O -2.932 3.197 4.122
O 1.129 -1.226 3.730
O -0.497 -1.590 5.836
O 0.497 1.590 3.730
O -1.129 1.226 5.836
O 2.932 -3.197 5.443
O 1.626 0.364 5.836
O 4.235 0.941 4.122
O 1.303 4.138 5.443
```

=====

Record 7
A plane-wave DFT calculation with PBE-GGA was carried out for a relaxed structure of Sm2Te4O11.

Summary:
* crystal system: monoclinic
* magnetization: 0.000 μB/atom
* E: -6.323 eV per atom
* symmetry: C2/c

Structure (extended XYZ):
```
34
Lattice="6.245 -2.580 0.000 6.245 2.580 0.000 -4.553 0.000 15.429" Properties=species:S:1:pos:R:3 pbc="T T T"
Sm 0.379 1.318 14.853
Sm 5.282 1.318 8.290
Sm 2.655 -1.318 7.139
Sm 7.558 -1.318 0.576
Te 1.819 1.457 9.734
Te 3.338 1.415 4.558
Te 3.842 1.457 13.409
Te 6.876 1.415 3.157
Te 1.061 -1.415 12.272
Te 4.095 -1.457 2.020
Te 4.599 -1.415 10.871
Te 6.119 -1.457 5.695
O 4.108 2.135 6.166
O 6.105 2.135 1.549
O -1.708 0.222 14.551
O 0.249 0.337 9.750
O 0.568 -0.222 6.836
O 0.580 0.318 12.753
O 2.886 0.595 8.436
O 2.525 -0.337 2.035
O 5.107 0.701 3.857
O 2.857 -0.318 5.038
O 2.775 0.595 14.707
O 5.162 -0.595 0.722
O 5.080 0.318 10.390
O 2.830 -0.701 11.571
O 5.412 0.337 13.393
O 5.052 -0.595 6.993
O 7.357 -0.318 2.676
O 7.369 0.222 8.592
O 7.689 -0.337 5.679
O 9.646 -0.222 0.878
O 1.832 -2.135 13.880
O 3.829 -2.135 9.263
```

=====

Record 8
A plane-wave DFT calculation with PBE-GGA was carried out for a relaxed structure of SmTmTeO2.

Summary:
* crystal system: tetragonal
* magnetization: 0.001 μB/atom
* E: -7.390 eV per atom
* symmetry: I4mm

Structure (extended XYZ):
```
10
Lattice="3.927 0.000 0.000 0.000 3.927 0.000 0.000 0.000 12.490" Properties=species:S:1:pos:R:3 pbc="T T T"
Sm 0.000 0.000 0.000
Sm 1.963 1.963 6.245
Tm 0.000 0.000 8.451
Tm 1.963 1.963 2.206
Te 0.000 0.000 4.245
Te 1.963 1.963 10.490
O 0.000 1.963 1.200
O 0.000 1.963 7.445
O 1.963 0.000 1.200
O 1.963 0.000 7.445
```

=====

Record 9
A plane-wave DFT calculation with PBE-GGA was carried out for a relaxed structure of SmYTeO2.

Summary:
* crystal system: tetragonal
* magnetization: 0.000 μB/atom
* E: -7.767 eV per atom
* symmetry: I4mm

Structure (extended XYZ):
```
10
Lattice="3.961 0.000 0.000 0.000 3.961 0.000 0.000 0.000 12.578" Properties=species:S:1:pos:R:3 pbc="T T T"
Sm 0.000 0.000 0.000
Sm 1.980 1.980 6.289
Y 0.000 0.000 8.526
Y 1.980 1.980 2.237
Te 0.000 0.000 4.269
Te 1.980 1.980 10.558
O 0.000 1.980 1.169
O 0.000 1.980 7.458
O 1.980 0.000 1.169
O 1.980 0.000 7.458
```

=====

Record 10
A plane-wave DFT calculation with PBE-GGA was carried out for a relaxed structure of SmTlO3.

Summary:
* crystal system: trigonal
* magnetization: 0.000 μB/atom
* E: -6.384 eV per atom
* symmetry: R-3

Structure (extended XYZ):
```
10
Lattice="2.950 1.703 5.039 -2.950 1.703 5.039 0.000 -3.406 5.039" Properties=species:S:1:pos:R:3 pbc="T T T"
Sm 0.000 0.000 2.081
Sm 0.000 0.000 13.036
Tl 0.000 0.000 5.438
Tl 0.000 0.000 9.679
O -1.226 -1.664 6.307
O -2.054 0.230 8.810
O -0.828 1.894 6.307
O 0.828 -1.894 8.810
O 2.054 -0.230 6.307
O 1.226 1.664 8.810
```

=====

Record 11
A plane-wave DFT calculation with PBE-GGA was carried out for a relaxed structure of Sm2Tl2O5.

Summary:
* crystal system: tetragonal
* magnetization: 0.000 μB/atom
* E: -5.728 eV per atom
* symmetry: P4/mmm
* relative energy among the computed polymorphs: 53.8 kJ/mol of atoms

Structure (extended XYZ):
```
9
Lattice="4.333 0.000 0.000 0.000 4.333 0.000 0.000 0.000 7.115" Properties=species:S:1:pos:R:3 pbc="T T T"
Sm 0.000 0.000 0.000
Sm 0.000 0.000 3.558
Tl 2.167 2.167 1.378
Tl 2.167 2.167 5.738
O 0.000 2.167 1.749
O 0.000 2.167 5.366
O 2.167 0.000 1.749
O 2.167 0.000 5.366
O 2.167 2.167 3.558
```

=====

Record 12
A plane-wave DFT calculation with PBE-GGA was carried out for a relaxed structure of SmTlO3.

Summary:
* crystal system: orthorhombic
* magnetization: 0.000 μB/atom
* E: -6.340 eV per atom
* symmetry: Pnma

Structure (extended XYZ):
```
20
Lattice="5.983 0.000 0.000 0.000 8.623 0.000 0.000 0.000 5.901" Properties=species:S:1:pos:R:3 pbc="T T T"
Sm 0.000 0.000 0.000
Sm 0.000 4.311 0.000
Sm 2.992 0.000 2.950
Sm 2.992 4.311 2.950
Tl 0.248 2.156 2.919
Tl 2.743 6.467 5.869
Tl 3.240 2.156 0.032
Tl 5.735 6.467 2.982
O 0.690 6.467 0.795
O 1.005 4.965 3.916
O 1.005 7.970 3.916
O 1.986 0.653 0.966
O 1.986 3.658 0.966
O 2.301 2.156 3.746
O 3.682 6.467 2.155
O 3.997 4.965 4.935
O 3.997 7.970 4.935
O 4.978 0.653 1.985
O 4.978 3.658 1.985
O 5.293 2.156 5.105
```